Record 1
# RbCuHgS2 | the Alexandria database | PBE | optimized geometry
data_RbCuHgS2
_cell_length_a 7.2616
_cell_length_b 5.3757
_cell_length_c 7.4119
_cell_angle_alpha 90.00
_cell_angle_beta 105.04
_cell_angle_gamma 90.00
_space_group_name_H-M_alt 'P 1 2/c 1'
_space_group_IT_number 13
loop_
_space_group_symop_operation_xyz
'x,y,z'
'-x,-y,-z'
'-x,y,-z+1/2'
'x,-y,z+1/2'
loop_
_atom_site_label
_atom_site_fract_x
_atom_site_fract_y
_atom_site_fract_z
_atom_site_occupancy
Rb1 0.0000 0.2261 0.2500 1
Cu1 0.5000 0.0000 0.0000 1
Hg1 0.5000 0.4649 0.7500 1
S1 0.2840 0.2816 0.9523 1
# V   279.4 Å³ per cell
# Raw total energy   -3.240 eV/atom
# Total moment   0.0 Bohr magnetons per cell

Record 2
# CdOsAu2 | the Alexandria database | PBE | optimized geometry
data_CdOsAu2
_cell_length_a 4.2579
_cell_length_b 4.2579
_cell_length_c 7.7316
_cell_angle_alpha 90.00
_cell_angle_beta 90.00
_cell_angle_gamma 90.00
_space_group_name_H-M_alt 'I 4/m m m'
_space_group_IT_number 139
_space_group_name_Hall '-I 4 2'
loop_
_atom_site_label
_atom_site_fract_x
_atom_site_fract_y
_atom_site_fract_z
_atom_site_occupancy
Cd1 0.0000 0.0000 0.0000 1
Os1 0.0000 0.0000 0.5000 1
Au1 0.0000 0.5000 0.2500 1
# Formation energy   556 meV per atom
# V   140.2 Å³ per cell
# Total moment   1.0 Bohr magnetons per cell

Record 3
# Pr3Sm3DyTe8 | the Alexandria database | PBE | optimized geometry
data_Pr3Sm3DyTe8
_cell_length_a 8.9168
_cell_length_b 8.9168
_cell_length_c 21.9648
_cell_angle_alpha 90.00
_cell_angle_beta 90.00
_cell_angle_gamma 120.00
_space_group_name_H-M_alt 'R -3 m'
_space_group_IT_number 166
_space_group_name_Hall '-R 3 2"'
loop_
_atom_site_label
_atom_site_fract_x
_atom_site_fract_y
_atom_site_fract_z
_atom_site_occupancy
Pr1 0.0000 0.5000 0.0000 1
Sm1 0.0000 0.5000 0.5000 1
Dy1 0.0000 0.0000 0.5000 1
Te1 0.0000 0.0000 0.2478 1
Te2 0.0026 0.5013 0.7515 1
# V   1512.5 Å³ per cell
# Raw total energy   -5.324 eV/atom
# Total moment   0.0 Bohr magnetons per cell